Compound: CaZn2Cl
Source: Alexandria
Functional: GGA-PBE
Structure: relaxed

Results
Energy relative to the elements, uncorrected = -0.70 eV/atom
Relative energy among the computed polymorphs = 0 meV/atom

```
data_CaZn2Cl
_chemical_formula_sum 'Ca1 Zn2 Cl1'
_cell_length_a 3.6713
_cell_length_b 3.6706
_cell_length_c 7.9821
_cell_angle_alpha 90.00
_cell_angle_beta 93.47
_cell_angle_gamma 90.00
_space_group_name_H-M_alt 'P 1 m 1'
_space_group_IT_number 6
loop_
_space_group_symop_operation_xyz
'x,y,z'
'x,-y,z'
loop_
_atom_site_label
_atom_site_fract_x
_atom_site_fract_y
_atom_site_fract_z
Ca1 0.0000 0.0000 0.0000
Zn1 0.0428 0.5000 0.3279
Zn2 0.5428 0.0000 0.3280
Cl1 0.4803 0.5000 0.8503
```